[1]
Density functional theory data (SCAN) for HfNb2SbW at its PBEsol-relaxed geometry.

Computed properties:
* calculated volume: 113 Å³ per cell
* final energy: -45.486 eV per atom
* ΔE_f (raw): 1.690 eV/atom

a b c (Å): 4.778 4.864 4.864
angles (deg): 90.00 90.00 90.00
Atoms (fractional coordinates):
W 0.500 0.000 0.000
Nb 0.000 0.000 0.500
Nb 0.000 0.500 0.000
Sb 0.500 0.500 0.500
Hf 0.000 0.000 0.000

=====

[2]
Density functional theory data (SCAN) for YTe2Pb at its PBEsol-relaxed geometry.

Computed properties:
* calculated volume: 158 Å³ per cell
* final energy: -44.771 eV per atom
* ΔE_f (raw): -0.239 eV/atom

a b c (Å): 4.416 4.416 9.691
angles (deg): 76.83 76.83 60.00
Each line ends with the local moment (μB).
Atoms (fractional coordinates):
Te 0.101 0.101 0.697  0.00
Te 0.899 0.899 0.303  0.00
Y 0.000 0.000 0.000  0.23
Pb 0.500 0.500 0.500  0.00

=====

[3]
Density functional theory data (SCAN) for YAlTl at its PBEsol-relaxed geometry.

Computed properties:
* calculated volume: 73 Å³ per cell
* final energy: -36.000 eV per atom
* ΔH_f (0 K): -0.0160 eV/atom
* energy relative to the lowest polymorph listed for this composition: 189.7 meV per atom

a b c (Å): 3.353 3.353 7.469
angles (deg): 90.00 90.00 120.00
Atoms (fractional coordinates):
Y 0.667 0.333 0.324
Tl 0.333 0.667 0.683
Al 0.000 0.000 0.993

=====

[4]
Density functional theory data (SCAN) for SrTcHg2 at its PBEsol-relaxed geometry.

Computed properties:
* calculated volume: 89 Å³ per cell
* final energy: -47.820 eV per atom
* ΔH_f (0 K): 0.5971 eV/atom
* energy relative to the lowest polymorph listed for this composition: 206.7 meV per atom

a b c (Å): 3.282 3.282 9.775
angles (deg): 80.33 80.33 60.00
Each line ends with the local moment (μB).
Atoms (fractional coordinates):
Tc 0.255 0.255 0.234  1.58
Hg 0.745 0.745 0.766  0.02
Hg 0.994 0.994 0.017  0.03
Sr 0.506 0.506 0.483  -0.04

=====

[5]
Density functional theory data (SCAN) for CaLa2Mg at its PBEsol-relaxed geometry.

Computed properties:
* calculated volume: 134 Å³ per cell
* final energy: -25.236 eV per atom
* ΔH_f (0 K): -0.0247 eV/atom

a b c (Å): 3.992 3.992 8.419
angles (deg): 90.00 90.00 90.00
Atoms (fractional coordinates):
La 0.000 0.000 0.783
La 0.000 0.000 0.217
Ca 0.500 0.500 0.500
Mg 0.500 0.500 0.000

=====

[6]
Density functional theory data (SCAN) for BaAgTe at its PBEsol-relaxed geometry.

Computed properties:
* calculated volume: 92 Å³ per cell
* final energy: -36.954 eV per atom
* ΔE_f (raw): -0.898 eV/atom
* energy relative to the lowest polymorph listed for this composition: 0.0 meV per atom

a b c (Å): 4.613 4.810 4.810
angles (deg): 120.00 90.00 90.00
Each line ends with the local moment (μB).
Atoms (fractional coordinates):
Ag 0.166 0.000 0.000  -0.10
Te 0.167 0.667 0.333  -0.02
Ba 0.667 0.333 0.667  -0.13

=====

[7]
Density functional theory data (SCAN) for GaCuSnSe4 at its PBEsol-relaxed geometry.

Computed properties:
* calculated volume: 169 Å³ per cell
* final energy: -21.557 eV per atom
* ΔE_f (raw): -0.445 eV/atom

a b c (Å): 5.518 5.518 6.797
angles (deg): 113.95 113.95 90.00
Atoms (fractional coordinates):
Ga 0.250 0.750 0.500
Se 0.347 0.342 0.248
Se 0.094 0.653 0.752
Se 0.658 0.099 0.752
Se 0.901 0.906 0.248
Cu 0.750 0.250 0.500
Sn 0.500 0.500 0.000

=====

[8]
Density functional theory data (SCAN) for NaTc2NiAu at its PBEsol-relaxed geometry.

Computed properties:
* calculated volume: 87 Å³ per cell
* final energy: -30.650 eV per atom
* ΔH_f (0 K): 1.2827 eV/atom

a b c (Å): 4.373 4.373 4.575
angles (deg): 90.00 90.00 90.00
Each line ends with the local moment (μB).
Atoms (fractional coordinates):
Tc 0.000 0.500 0.000  2.12
Tc 0.500 0.000 0.000  2.12
Au 0.500 0.500 0.500  0.08
Ni 0.000 0.000 0.000  0.53
Na 0.000 0.000 0.500  -0.02

=====

[9]
Density functional theory data (SCAN) for B2RuF at its PBEsol-relaxed geometry.

Computed properties:
* calculated volume: 95 Å³ per cell
* final energy: -12.927 eV per atom
* ΔE_f (raw): 0.380 eV/atom

a b c (Å): 4.594 4.594 5.546
angles (deg): 114.47 114.47 90.00
Atoms (fractional coordinates):
Ru 0.250 0.750 0.500
Ru 0.000 0.000 0.000
F 0.500 0.500 0.000
F 0.750 0.250 0.500
B 0.625 0.630 0.750
B 0.125 0.120 0.750
B 0.880 0.375 0.250
B 0.370 0.875 0.250

=====

[10]
Density functional theory data (SCAN) for TiNi3Se at its PBEsol-relaxed geometry.

Computed properties:
* calculated volume: 79 Å³ per cell
* final energy: -15.817 eV per atom
* ΔE_f (raw): 1.108 eV/atom

a b c (Å): 4.298 4.298 4.298
angles (deg): 90.00 90.00 90.00
Atoms (fractional coordinates):
Se 0.500 0.500 0.500
Ni 0.500 0.000 0.000
Ni 0.000 0.000 0.500
Ni 0.000 0.500 0.000
Ti 0.000 0.000 0.000

=====

[11]
Density functional theory data (SCAN) for ZnGaNO at its PBEsol-relaxed geometry.

Computed properties:
* calculated volume: 375 Å³ per cell
* final energy: -12.393 eV per atom
* ΔE_f (raw): -1.047 eV/atom
* energy relative to the lowest polymorph listed for this composition: 17.5 meV per atom

a b c (Å): 6.454 6.454 10.390
angles (deg): 90.00 90.00 120.00
Atoms (fractional coordinates):
N 0.994 0.497 0.813
N 0.839 0.161 0.564
N 0.000 0.000 0.316
N 0.323 0.161 0.564
N 0.503 0.006 0.813
N 0.333 0.667 0.064
N 0.503 0.497 0.813
N 0.839 0.677 0.564
Ga 0.006 0.503 0.993
Ga 0.497 0.503 0.993
Ga 0.497 0.994 0.993
Ga 0.000 0.000 0.503
Ga 0.828 0.172 0.744
Ga 0.345 0.172 0.744
Ga 0.828 0.655 0.744
Ga 0.333 0.667 0.252
O 0.826 0.652 0.057
O 0.000 0.000 0.813
O 0.826 0.174 0.057
O 0.494 0.506 0.302
O 0.333 0.667 0.551
O 0.494 0.988 0.302
O 0.012 0.506 0.302
O 0.348 0.174 0.057
Zn 0.839 0.678 0.262
Zn 0.505 0.009 0.509
Zn 0.839 0.161 0.262
Zn 0.322 0.161 0.262
Zn 0.000 0.000 0.006
Zn 0.991 0.495 0.509
Zn 0.333 0.667 0.743
Zn 0.505 0.495 0.509

=====

[12]
Density functional theory data (SCAN) for VBiO4 at its PBEsol-relaxed geometry.

Computed properties:
* calculated volume: 170 Å³ per cell
* final energy: -22.223 eV per atom
* ΔE_f (raw): -2.058 eV/atom

a b c (Å): 6.073 6.073 6.073
angles (deg): 106.12 106.12 116.40
Atoms (fractional coordinates):
V 0.000 0.000 0.000
V 0.250 0.750 0.500
O 0.829 0.648 0.819
O 0.421 0.102 0.681
O 0.898 0.579 0.319
O 0.989 0.171 0.819
O 0.829 0.011 0.181
O 0.352 0.171 0.181
O 0.421 0.739 0.319
O 0.261 0.579 0.681
Bi 0.750 0.250 0.500
Bi 0.500 0.500 0.000

=====

Q: Number 11 is which compound?
A: ZnGaNO

=====

Q: Which value of final energy does entry 9 give?
A: -12.927 eV per atom